# 1
FeCoMo2 | PBE-GGA | relaxed

Symmetry   No. 123
Energy above the most stable polymorph in this dataset   0.0071 eV per atom
E_form   0.095 eV per atom
V   13.110 A^3/atom

a = 2.6802 Å, b = 2.6802 Å, c = 7.2997 Å
α = 90.00°, β = 90.00°, γ = 90.00°
Last column: nearest neighbours and their distance in Å.
Element x y z (fractional)
Fe: 0.0000 0.0000 0.0000  8 Mo 2.62, 4 Fe 2.68
Co: 0.0000 0.0000 0.5000  8 Mo 2.64, 4 Co 2.68
Mo: 0.5000 0.5000 0.2482  4 Fe 2.62, 4 Co 2.64, 4 Mo 2.68
Mo: 0.5000 0.5000 0.7518  4 Fe 2.62, 4 Co 2.64, 4 Mo 2.68

# 2
U2Pt7Rh | PBE-GGA | relaxed

Symmetry   No. 65
E_form   -0.062 eV per atom
V   21.005 A^3/atom

a = 8.2207 Å, b = 8.2207 Å, c = 3.8927 Å
α = 90.00°, β = 90.00°, γ = 127.01°
Last column: nearest neighbours and their distance in Å.
Element x y z (fractional)
U: 0.1891 0.8109 0.0000  5 Pt 2.63-2.78
U: 0.8109 0.1891 0.0000  5 Pt 2.63-2.78
Pt: 0.0000 0.0000 0.0000  4 Pt 2.68, 2 U 2.78
Pt: 0.2099 0.4065 0.0000  1 U 2.63, 5 Pt 2.68-2.89, 2 Rh 2.80
Pt: 0.3155 0.6845 0.5000  2 U 2.69, 1 Rh 2.72, 4 Pt 2.72
Pt: 0.4065 0.2099 0.0000  1 U 2.63, 5 Pt 2.68-2.89, 2 Rh 2.80
Pt: 0.5935 0.7901 0.0000  1 U 2.63, 5 Pt 2.68-2.89, 2 Rh 2.80
Pt: 0.6845 0.3155 0.5000  2 U 2.69, 1 Rh 2.72, 4 Pt 2.72
Pt: 0.7901 0.5935 0.0000  1 U 2.63, 5 Pt 2.68-2.89, 2 Rh 2.80
Rh: 0.5000 0.5000 0.5000  10 Pt 2.72-2.80

> Which value of V does entry 2 give?

21.005 A^3/atom

Repeat the first record exactly.
FeCoMo2 | PBE-GGA | relaxed

Symmetry   No. 123
Energy above the most stable polymorph in this dataset   0.0071 eV per atom
E_form   0.095 eV per atom
V   13.110 A^3/atom

a = 2.6802 Å, b = 2.6802 Å, c = 7.2997 Å
α = 90.00°, β = 90.00°, γ = 90.00°
Last column: nearest neighbours and their distance in Å.
Element x y z (fractional)
Fe: 0.0000 0.0000 0.0000  8 Mo 2.62, 4 Fe 2.68
Co: 0.0000 0.0000 0.5000  8 Mo 2.64, 4 Co 2.68
Mo: 0.5000 0.5000 0.2482  4 Fe 2.62, 4 Co 2.64, 4 Mo 2.68
Mo: 0.5000 0.5000 0.7518  4 Fe 2.62, 4 Co 2.64, 4 Mo 2.68